Record 1
First-principles (PBE) data for crystalline Zn3CrPb at its relaxed geometry, as listed in Alexandria.

Unit cell a=4.8893 b=4.8893 c=4.8893 alpha=90.00 beta=90.00 gamma=90.00
Sites, in units of the cell vectors:
Cr  0.0000  0.0000  0.0000
Zn  0.5000  0.0000  0.0000
Pb  0.5000  0.5000  0.5000
Zn  0.0000  0.5000  0.0000
Zn  0.0000  0.0000  0.5000

Results
* total energy: -2.827 eV per atom
* ΔE_f: 0.603 eV/atom
* space-group type: No. 221
* density of states at the Fermi level: 2.772 states/eV/f.u.
* energy relative to the lowest polymorph listed for this composition: 0.0 meV/atom


Record 2
First-principles (PBE) data for crystalline LiAc2Sn3Pd4 at its relaxed geometry, as listed in Alexandria.

Unit cell a=4.6279 b=4.6279 c=10.8961 alpha=90.00 beta=90.00 gamma=90.00
Sites, in units of the cell vectors:
Ac  0.5000  0.0000  0.2486
Pd  0.0000  0.0000  0.0000
Ac  0.0000  0.5000  0.7514
Pd  0.0000  0.5000  0.3715
Sn  0.0000  0.0000  0.5000
Pd  0.5000  0.0000  0.6285
Sn  0.5000  0.0000  0.8732
Li  0.5000  0.5000  0.5000
Sn  0.0000  0.5000  0.1268
Pd  0.5000  0.5000  0.0000

Results
* total energy: -5.073 eV per atom
* ΔE_f: -0.782 eV/atom
* space-group type: No. 115
* density of states at the Fermi level: 6.713 states/eV/f.u.


Record 3
First-principles (PBE) data for crystalline Cs6PtAu2O at its relaxed geometry, as listed in Alexandria.

Unit cell a=8.5510 b=9.3634 c=12.3433 alpha=90.00 beta=90.00 gamma=90.00
Sites, in units of the cell vectors:
Cs  0.7353  0.9775  0.5000
O  0.5000  0.2248  0.5000
Cs  0.0000  0.7889  0.2362
Au  0.0000  0.1808  0.7136
Cs  0.2375  0.4172  0.5000
Pt  0.0000  0.7034  0.5000
Au  0.5000  0.8192  0.2136
Cs  0.7647  0.0225  0.0000
Cs  0.2353  0.0225  0.0000
Cs  0.7625  0.4172  0.5000
O  0.0000  0.7752  0.0000
Pt  0.5000  0.2966  0.0000
Au  0.5000  0.8192  0.7864
Au  0.0000  0.1808  0.2864
Cs  0.5000  0.2111  0.7362
Cs  0.5000  0.2111  0.2638
Cs  0.2625  0.5828  0.0000
Cs  0.2647  0.9775  0.5000
Cs  0.0000  0.7889  0.7638
Cs  0.7375  0.5828  0.0000

Results
* total energy: -2.654 eV per atom
* space-group type: No. 59


Question: Which value of total energy does entry 3 give?
Answer: -2.654 eV per atom